Record 1
! Nd2CdNi3As4, optimized geometry, DFT PBE; values from VASP
! Spin magnetization ... 0.00 μB per atom
! SG ... P-4m2 (115)
! Energy of formation ... -0.68 eV/atom
&SYSTEM
  ibrav = 0, nat = 10, ntyp = 4
/
ATOMIC_SPECIES
As 74.92 As.upf
Ni 58.69 Ni.upf
Nd 144.24 Nd.upf
Cd 112.41 Cd.upf
ATOMIC_POSITIONS angstrom
As 0.000 0.000 0.000
As 0.000 2.139 3.462
Ni 0.000 0.000 5.037
Nd 2.139 0.000 2.350
As 2.139 0.000 6.612
Nd 0.000 2.139 7.724
Ni 0.000 2.139 1.095
As 2.139 2.139 0.000
Ni 2.139 0.000 8.979
Cd 2.139 2.139 5.037
CELL_PARAMETERS angstrom
4.278 0.000 0.000
0.000 4.278 0.000
0.000 0.000 10.074

Record 2
! PaFeGe2, optimized geometry, DFT PBE; values from VASP
! Spin magnetization ... 0.32 μB per atom
! SG ... R-3m (166)
! Energy of formation ... 0.20 eV/atom
&SYSTEM
  ibrav = 0, nat = 4, ntyp = 3
/
ATOMIC_SPECIES
Pa 231.04 Pa.upf
Ge 72.64 Ge.upf
Fe 55.84 Fe.upf
ATOMIC_POSITIONS angstrom
Pa 0.000 0.000 0.000
Ge 1.490 0.860 6.639
Ge 4.471 2.581 2.997
Fe 2.981 1.721 4.818
CELL_PARAMETERS angstrom
2.981 0.000 0.000
1.490 2.581 0.000
1.490 0.860 9.635